No. 1
Material: La6Ir2SBr2
Method: DFT, PBE-GGA
State: relaxed

Values from the calculation:
The calculation puts the uncorrected formation energy at -1211 meV per atom. The final energy comes out at -6.190 eV per atom. The spin magnetization comes out at 0.00 Bohr magnetons per cell.

Cell: 7.5161 12.6223 7.7461 Å, 90.00 107.69 90.00°
Closest atoms and distances in Å follow each position.
Space group C2/m (No. 12)
One atom of each set of equivalent atoms:
La 0.2114 0.0000 0.2108 x4  2 Ir 2.87, 1 S 3.09
La 0.2411 0.3301 0.2098 x8  2 Ir 2.87-2.89, 1 S 2.96
Ir 0.0000 0.1702 0.0000 x4  6 La 2.87-2.89
S 0.0000 0.5000 0.0000 x2  6 La 2.96-3.09
Br 0.0000 0.3383 0.5000 x4  6 La 3.27-3.31

No. 2
Material: SmInAgIr
Method: DFT, PBE-GGA
State: relaxed

Values from the calculation:
The calculation puts the formation energy at -0.33 eV/atom. The final energy comes out at -5.119 eV per atom. The spin magnetization comes out at 0.00 Bohr magnetons per cell.

Cell: 6.9201 6.9201 6.9201 Å, 90.00 90.00 90.00°
Closest atoms and distances in Å follow each position.
Space group F-43m (No. 216)
One atom of each set of equivalent atoms:
Sm 0.0000 0.0000 0.0000 x4  4 Ir 3.00, 4 Ag 3.00
In 0.0000 0.0000 0.5000 x4  4 Ir 3.00, 4 Ag 3.00
Ag 0.2500 0.2500 0.2500 x4  4 In 3.00, 4 Sm 3.00
Ir 0.2500 0.2500 0.7500 x4  4 In 3.00, 4 Sm 3.00

No. 3
Material: TaAlSe2Br
Method: DFT, PBE-GGA
State: relaxed

Values from the calculation:
As for the energy above the lowest structure with this stoichiometry: 0.0 meV per atom. The calculation puts the uncorrected formation energy at -120 meV per atom. The final energy comes out at -4.968 eV per atom. The spin magnetization comes out at 0.00 Bohr magnetons per cell.

Cell: 5.0698 5.0698 5.1874 Å, 90.00 90.00 90.00°
Closest atoms and distances in Å follow each position.
Space group P4/mmm (No. 123)
One atom of each set of equivalent atoms:
Ta 0.0000 0.0000 0.0000 x1  4 Se 2.53, 2 Br 2.59
Al 0.5000 0.5000 0.5000 x1  4 Br 3.58, 8 Se 3.63
Se 0.0000 0.5000 0.0000 x2  2 Ta 2.53
Br 0.0000 0.0000 0.5000 x1  2 Ta 2.59

No. 4
Material: LiAc2Ag2
Method: DFT, PBE-GGA
State: relaxed

Values from the calculation:
The calculation puts the formation energy at -0.12 eV/atom. As for the energy above the lowest structure with this stoichiometry: 78.1 meV per atom. The final energy comes out at -3.286 eV per atom. The spin magnetization comes out at 0.00 Bohr magnetons per cell.

Cell: 6.8574 13.0385 6.7466 Å, 90.00 90.00 90.00°
Closest atoms and distances in Å follow each position.
Space group Ibam (No. 72)
One atom of each set of equivalent atoms:
Li 0.0000 0.0000 0.2500 x4  4 Ag 2.62
Ac 0.1752 0.3551 0.0000 x8  5 Ag 3.18-3.50, 2 Li 3.37
Ag 0.2017 0.1118 0.0000 x8  2 Li 2.62

No. 5
Material: NpAgHg
Method: DFT, PBE-GGA
State: relaxed

Values from the calculation:
The calculation puts the formation energy at 0.22 eV/atom. As for the energy above the lowest structure with this stoichiometry: 110.2 meV per atom. The final energy comes out at -5.141 eV per atom. The spin magnetization comes out at 9.29 Bohr magnetons per cell.

Cell: 3.0709 3.0709 13.9633 Å, 90.00 90.00 90.00°
Closest atoms and distances in Å follow each position.
Space group I4mm (No. 107)
One atom of each set of equivalent atoms:
Np 0.0000 0.0000 0.0000 x2  4 Np 3.07, 4 Ag 3.22, 4 Hg 3.30
Ag 0.0000 0.0000 0.3293 x2  4 Hg 3.03, 4 Ag 3.07, 4 Np 3.22
Hg 0.0000 0.0000 0.6782 x2  4 Ag 3.03, 4 Hg 3.07, 4 Np 3.30

No. 6
Material: RbPbI3O2
Method: DFT, PBE-GGA
State: relaxed

Values from the calculation:
The calculation puts the uncorrected formation energy at -703 meV per atom. The final energy comes out at -3.452 eV per atom. The spin magnetization comes out at 7.95 Bohr magnetons per cell.

Cell: 9.9722 4.9054 22.2961 Å, 90.00 90.00 90.00°
Closest atoms and distances in Å follow each position.
Space group Pnma (No. 62)
One atom of each set of equivalent atoms:
Rb 0.1279 0.2500 0.2019 x4  2 O 3.44, 4 I 3.72-3.74
Pb 0.0501 0.7500 0.4076 x4  6 I 3.17-3.38
I 0.0914 0.2500 0.7195 x4  1 Pb 3.17
I 0.1581 0.7500 0.5512 x4  3 Pb 3.34-3.38
I 0.2457 0.2500 0.3687 x4  2 Pb 3.25
O 0.0121 0.2500 0.9433 x4  1 O 1.24
O 0.0742 0.7500 0.0965 x4  1 O 1.24

No. 7
Material: Sr2Tl6Cd
Method: DFT, PBE-GGA
State: relaxed

Values from the calculation:
The calculation puts the formation energy at -0.19 eV/atom. As for the energy above the lowest structure with this stoichiometry: 33.6 meV per atom. The final energy comes out at -2.245 eV per atom. The spin magnetization comes out at 0.00 Bohr magnetons per cell.

Cell: 10.4995 10.4995 10.4995 Å, 90.00 90.00 90.00°
Closest atoms and distances in Å follow each position.
Space group Fm-3m (No. 225)
One atom of each set of equivalent atoms:
Sr 0.2500 0.2500 0.2500 x8  12 Tl 3.73
Tl 0.0000 0.0000 0.2176 x24  1 Cd 2.97, 4 Tl 3.23
Cd 0.0000 0.0000 0.5000 x4  6 Tl 2.97

No. 8
Material: PmSm3Cd2
Method: DFT, PBE-GGA
State: relaxed

Values from the calculation:
The calculation puts the formation energy at -0.20 eV/atom. The final energy comes out at -3.659 eV per atom. The spin magnetization comes out at 0.25 Bohr magnetons per cell.

Cell: 3.7346 3.7346 12.8764 Å, 90.00 90.00 90.00°
Closest atoms and distances in Å follow each position.
Space group P4/mmm (No. 123)
One atom of each set of equivalent atoms:
Pm 0.0000 0.0000 0.0000 x1  8 Sm 3.64, 4 Pm 3.73
Sm 0.5000 0.5000 0.1949 x2  4 Cd 3.29, 4 Pm 3.64
Sm 0.5000 0.5000 0.5000 x1  8 Cd 3.29
Cd 0.0000 0.0000 0.3472 x2  8 Sm 3.29

No. 9
Material: Be2FeRu
Method: DFT, PBE-GGA
State: relaxed

Values from the calculation:
The calculation puts the formation energy at -0.16 eV/atom. The final energy comes out at -6.463 eV per atom. The spin magnetization comes out at 0.00 Bohr magnetons per cell.

Cell: 2.6958 2.6958 5.4846 Å, 90.00 90.00 90.00°
Closest atoms and distances in Å follow each position.
Space group P4mm (No. 99)
One atom of each set of equivalent atoms:
Be 0.0000 0.0000 0.0000 x1  4 Be 2.20, 1 Fe 2.40, 4 Ru 2.42
Be 0.5000 0.5000 0.2000 x1  4 Be 2.20, 4 Fe 2.31
Fe 0.0000 0.0000 0.4374 x1  5 Be 2.31-2.40, 4 Ru 2.48
Ru 0.5000 0.5000 0.7267 x1  5 Be 2.42-2.60, 4 Fe 2.48, 4 Ru 2.70

No. 10
Material: KBa2O2
Method: DFT, PBE-GGA
State: relaxed

Values from the calculation:
As for the energy above the lowest structure with this stoichiometry: 0.0 meV per atom. The calculation puts the uncorrected formation energy at -1791 meV per atom. The final energy comes out at -4.763 eV per atom. The spin magnetization comes out at 0.00 Bohr magnetons per cell.

Cell: 5.2115 5.2115 13.4414 Å, 90.00 90.00 90.00°
Closest atoms and distances in Å follow each position.
Space group I4/mmm (No. 139)
One atom of each set of equivalent atoms:
K 0.0000 0.0000 0.0000 x2  2 O 2.72
Ba 0.0000 0.5000 0.2500 x4  4 O 2.68
O 0.0000 0.0000 0.2027 x4  4 Ba 2.68, 1 K 2.72

No. 11
Material: Sn2AsPRh
Method: DFT, PBE-GGA
State: relaxed

Values from the calculation:
The calculation puts the formation energy at 0.75 eV/atom. The final energy comes out at -4.330 eV per atom. The spin magnetization comes out at 0.00 Bohr magnetons per cell.

Cell: 5.3563 5.3563 4.5339 Å, 90.00 90.00 90.00°
Closest atoms and distances in Å follow each position.
Space group P4/mmm (No. 123)
One atom of each set of equivalent atoms:
Sn 0.0000 0.5000 0.0000 x2  2 As 2.68
As 0.0000 0.0000 0.0000 x1  2 Rh 2.27
P 0.5000 0.5000 0.5000 x1  8 Sn 3.51, 4 Rh 3.79
Rh 0.0000 0.0000 0.5000 x1  2 As 2.27

No. 12
Material: Sm4CSe2N
Method: DFT, PBE-GGA
State: relaxed

Values from the calculation:
The calculation puts the uncorrected formation energy at -1375 meV per atom. The final energy comes out at -6.799 eV per atom. The spin magnetization comes out at 0.00 Bohr magnetons per cell.

Cell: 6.6164 3.8270 7.0619 Å, 90.00 108.24 90.00°
Closest atoms and distances in Å follow each position.
Space group P2/m (No. 10)
One atom of each set of equivalent atoms:
Sm 0.2346 0.0000 0.2028 x2  1 C 2.59, 2 N 2.59
Sm 0.2647 0.5000 0.7935 x2  2 C 2.61, 1 N 2.61
C 0.5000 0.0000 0.0000 x1  6 Sm 2.59-2.61
Se 0.0000 0.0000 0.5000 x1  6 Sm 2.96-2.98
Se 0.5000 0.5000 0.5000 x1  6 Sm 2.96-2.97
N 0.0000 0.5000 0.0000 x1  6 Sm 2.59-2.61

> The highest final energy belongs to which entry?

Sr2Tl6Cd